## MnCu2P (PBE)

Data for MnCu2P after structural relaxation.

Summary:
DFT formation energy ... 1.29 eV/f.u.
Raw total energy ... -5.3695 eV per atom
Density of states at the Fermi level ... 2.0 states/eV/f.u.

Cell: 6.744 6.744 5.278 Å, 50.29 50.29 90.00°
Fractional positions:
P (0.250, 0.750, 0.500)
P (0.500, 0.500, 0.000)
Cu (0.160, 0.625, 0.250)
Cu (0.375, 0.410, 0.750)
Cu (0.875, 0.840, 0.750)
Cu (0.590, 0.125, 0.250)
Mn (0.750, 0.250, 0.500)
Mn (0.000, 0.000, 0.000)